No. 1
A relaxed structure of InAgAsH2, computed with PBE.

```
5
Lattice="3.8131 0.0000 0.0000 0.0000 5.7703 0.0000 0.0000 0.0000 3.8131" Properties=species:S:1:pos:R:3 pbc="T T T"
In 0.0000 2.8852 0.0000
As 0.0000 0.0000 0.0000
Ag 1.9065 2.8852 1.9065
H 0.0000 0.0000 1.9065
H 1.9065 0.0000 0.0000
```

Results
V, A^3/atom: 16.8
Total DFT energy (no corrections), eV/atom: -3.01


No. 2
A relaxed structure of ThSbAu, computed with PBE.

```
6
Lattice="4.8740 0.0000 0.0000 2.4370 4.2210 0.0000 2.4370 1.4070 8.2284" Properties=species:S:1:pos:R:3 pbc="T T T"
Th 4.8740 2.8140 5.8015
Th 4.8740 2.8140 2.4269
Sb 7.3111 4.2210 7.3854
Sb 2.4370 1.4070 0.8430
Au 7.3111 4.2210 4.1091
Au 2.4370 1.4070 4.1193
```

Results
V, A^3/atom: 28.2
Total DFT energy (no corrections), eV/atom: -5.44


No. 3
A relaxed structure of Cd2Rh3Pb2, computed with PBE.

```
7
Lattice="-3.9709 -2.3660 -0.3527 4.0473 -2.2548 0.0484 0.9165 1.8321 7.6094" Properties=species:S:1:pos:R:3 pbc="T T T"
Rh 0.0000 0.0000 0.0000
Rh 1.2923 -2.3983 1.5376
Rh -0.2994 -0.3904 5.7675
Pb 2.3509 -0.3805 6.3322
Pb -1.3580 -2.4081 0.9729
Cd -0.1535 -0.2016 2.9751
Cd 1.1465 -2.5870 4.3300
```

Results
ΔH_f (0 K), eV per atom: -0.07
V, A^3/atom: 19.7


No. 4
A relaxed structure of KMn2SnI8, computed with PBE.

```
12
Lattice="7.3857 0.0000 0.0000 3.6928 6.3962 0.0000 3.6928 2.1321 11.1859" Properties=species:S:1:pos:R:3 pbc="T T T"
Mn 3.6928 2.1321 2.7511
Mn 11.0786 6.3962 8.4349
I 6.2439 2.1079 3.4947
I 6.2440 6.4204 7.6912
I 9.8239 4.3535 3.4947
I 6.0892 2.1972 7.6912
I 6.0892 6.3310 3.4947
I 11.0786 6.3962 11.0414
I 3.6928 2.1321 0.1445
I 9.8240 4.1748 7.6912
K 0.0000 0.0000 0.0000
Sn 7.3857 4.2641 5.5930
```

Results
V, A^3/atom: 44.0
Total DFT energy (no corrections), eV/atom: -3.51


No. 5
A relaxed structure of Ce3CuGe3, computed with PBE.

```
14
Lattice="4.2772 0.0000 0.6443 2.1027 5.4560 0.5603 0.1437 0.1628 13.5656" Properties=species:S:1:pos:R:3 pbc="T T T"
Ge 1.2269 1.4680 6.3744
Ge 4.1190 0.9399 1.6948
Ge 5.9134 4.6148 4.3015
Ge 5.2967 4.1508 8.3958
Ge 0.6102 1.0040 10.4687
Ge 2.4046 4.6789 13.0754
Ce 3.4837 3.7424 5.9121
Ce 3.0399 1.8765 8.8581
Ce 2.4326 1.6550 12.8901
Ce 1.6741 1.4916 3.4057
Ce 4.8495 4.1273 11.3645
Ce 4.0910 3.9639 1.8801
Cu 3.0407 5.1401 8.8529
Cu 3.4829 0.4787 5.9173
```

Results
ΔH_f (0 K), eV per atom: -0.64
V, A^3/atom: 22.6


No. 6
A relaxed structure of AcPuHgBi, computed with PBE.

```
4
Lattice="5.6486 0.0000 0.0000 2.8243 4.8918 0.0000 2.8243 1.6306 4.6120" Properties=species:S:1:pos:R:3 pbc="T T T"
Ac 0.0000 0.0000 0.0000
Pu 5.6486 3.2612 2.3060
Bi 2.8243 1.6306 1.1530
Hg 8.4728 4.8918 3.4590
```

Results
ΔH_f (0 K), eV per atom: -0.37
V, A^3/atom: 31.9


No. 7
A relaxed structure of PrScNiRh, computed with PBE.

```
4
Lattice="4.8022 0.0000 0.0000 2.4011 4.1588 0.0000 2.4011 1.3863 3.9209" Properties=species:S:1:pos:R:3 pbc="T T T"
Sc 2.4011 1.3863 0.9802
Rh 0.0000 0.0000 0.0000
Ni 4.8022 2.7725 1.9605
Pr 7.2032 4.1588 2.9407
```

Results
ΔH_f (0 K), eV per atom: -0.48
V, A^3/atom: 19.6


No. 8
A relaxed structure of RbGa2Pt, computed with PBE.

```
8
Lattice="-5.1638 -0.7541 -3.3260 3.3792 -0.3155 -5.1747 -0.3528 -7.7128 -3.4605" Properties=species:S:1:pos:R:3 pbc="T T T"
Ga -1.7782 -6.1069 -4.4901
Ga -4.1834 -2.6274 -4.4218
Ga -4.3609 -6.4838 -6.1518
Ga -2.4952 -2.7853 -7.0100
Pt -3.2044 -4.5008 -5.5185
Pt 0.0000 0.0000 0.0000
Rb 1.0670 -4.2815 -6.4428
Rb -0.8923 -0.5348 -4.2504
```

Results
ΔH_f (0 K), eV per atom: -0.32
V, A^3/atom: 34.7


No. 9
A relaxed structure of La2CeTl4, computed with PBE.

```
7
Lattice="-3.4930 -2.7984 -2.2158 1.3410 -3.6348 -3.1516 -0.3418 -9.0055 6.2838" Properties=species:S:1:pos:R:3 pbc="T T T"
La -2.0082 -9.0610 -2.2755
La -0.4856 -6.3777 3.1919
Tl -1.3807 -5.2753 -2.4176
Tl -1.1132 -10.1635 3.3340
Tl -0.6237 -3.8549 0.2234
Tl -1.8701 -11.5839 0.6930
Ce 0.0000 0.0000 0.0000
```

Results
ΔH_f (0 K), eV per atom: -0.15
Energy above the most stable polymorph in this dataset, eV per formula unit: 0.492
V, A^3/atom: 32.7


No. 10
A relaxed structure of K3NpI2Cl6, computed with PBE.

```
12
Lattice="-3.2235 4.6170 2.0291 -0.8969 -4.1235 7.9577 7.5837 5.9079 -1.1816" Properties=species:S:1:pos:R:3 pbc="T T T"
K -0.4485 -2.0617 3.9788
K 2.1801 5.2625 0.4238
K 1.7316 3.2007 4.4026
Cl -1.6030 3.0239 3.4691
Cl 0.8995 2.1142 1.1969
Cl 2.5638 4.2873 7.6083
Cl 5.5967 5.8163 0.6297
Cl 5.0662 3.3775 5.3361
Cl -2.1334 0.5852 8.1754
Np -1.6117 2.3085 1.0145
I 1.3673 6.5633 3.5551
I 2.0959 -0.1618 5.2501
```

Results
V, A^3/atom: 38.5
Total DFT energy (no corrections), eV/atom: -4.08


No. 11
A relaxed structure of Th6PRh2Se3, computed with PBE.

```
12
Lattice="-3.5888 -2.8634 -5.5587 2.6647 -4.3041 5.1334 -5.6967 2.9552 3.7300" Properties=species:S:1:pos:R:3 pbc="T T T"
Rh 0.5843 -3.8248 1.5765
Rh -1.5085 -3.3426 -2.0017
Th -2.5888 -0.8461 -1.0668
Th -1.9635 -4.6055 0.5279
Th -0.4673 -1.3348 2.5604
Th -6.1535 -2.8775 0.7444
Th -4.0320 -3.3662 4.3716
Th -4.6573 0.3932 2.7769
Se -1.1886 -2.5950 5.2802
Se -3.3104 -2.1061 1.6524
Se -5.4322 -1.6173 -1.9755
P 0.0000 0.0000 0.0000
```

Results
V, A^3/atom: 26.4
Total DFT energy (no corrections), eV/atom: -7.58


No. 12
A relaxed structure of MoHS2N, computed with PBE.

```
5
Lattice="-2.1188 -0.0770 -4.2507 -3.2071 -3.0887 1.6546 -2.2697 2.9344 1.0783" Properties=species:S:1:pos:R:3 pbc="T T T"
H -3.7978 -0.1157 -0.7589
N -1.1349 1.4672 0.5391
S -1.0594 -0.0385 -2.1253
S -1.6036 -1.5444 0.8273
Mo 0.0000 0.0000 0.0000
```

Results
Energy above the most stable polymorph in this dataset, eV per formula unit: 0.000
V, A^3/atom: 17.4


No. 13
A relaxed structure of CuSiSn3, computed with PBE.

```
5
Lattice="5.0496 0.0000 0.0000 0.0000 5.0496 0.0000 0.0000 0.0000 5.0496" Properties=species:S:1:pos:R:3 pbc="T T T"
Sn 0.0000 0.0000 2.5248
Sn 2.5248 0.0000 0.0000
Sn 0.0000 2.5248 0.0000
Cu 0.0000 0.0000 0.0000
Si 2.5248 2.5248 2.5248
```

Results
Energy above the most stable polymorph in this dataset, eV per formula unit: 0.000
V, A^3/atom: 25.8


No. 14
A relaxed structure of ReNiS2N, computed with PBE.

```
5
Lattice="4.5867 0.0000 0.0000 0.0000 4.5867 0.0000 0.0000 0.0000 3.3293" Properties=species:S:1:pos:R:3 pbc="T T T"
S 0.0000 2.2933 0.0000
S 2.2933 0.0000 0.0000
N 0.0000 0.0000 1.6647
Ni 0.0000 0.0000 0.0000
Re 2.2933 2.2933 1.6647
```

Results
Energy above the most stable polymorph in this dataset, eV per formula unit: 2.595
V, A^3/atom: 14.0


No. 15
A relaxed structure of V2ReOs2, computed with PBE.

```
10
Lattice="-6.0293 0.7239 -3.8199 2.6061 -4.4782 -4.9621 -1.1386 -2.1933 1.3814" Properties=species:S:1:pos:R:3 pbc="T T T"
Re -1.7116 -1.8771 -4.3910
Re 0.0000 0.0000 0.0000
Os -3.4782 -0.1465 -3.0993
Os 0.1336 -1.5346 -2.3264
Os -3.5568 -2.2197 -6.4556
Os 0.0550 -3.6078 -5.6827
V -2.4094 -4.3505 -5.9920
V -2.1523 -1.5971 -1.4086
V 0.1662 -3.9581 -3.2462
V -4.7280 -1.9894 -4.1543
```

Results
ΔH_f (0 K), eV per atom: 0.11
Energy above the most stable polymorph in this dataset, eV per formula unit: 0.000
V, A^3/atom: 14.6


No. 16
A relaxed structure of ZrRuRhPb, computed with PBE.

```
4
Lattice="4.6643 0.0000 0.0000 2.3321 4.0394 0.0000 2.3321 1.3465 3.8084" Properties=species:S:1:pos:R:3 pbc="T T T"
Rh 6.9964 4.0394 2.8563
Zr 0.0000 0.0000 0.0000
Ru 2.3321 1.3465 0.9521
Pb 4.6643 2.6929 1.9042
```

Results
ΔH_f (0 K), eV per atom: -0.31
V, A^3/atom: 17.9


No. 17
A relaxed structure of DyZn3Cu, computed with PBE.

```
10
Lattice="-5.1422 -0.1407 -0.9371 -0.8249 -3.5366 5.0575 -0.2542 6.2036 0.4639" Properties=species:S:1:pos:R:3 pbc="T T T"
Zn -4.1136 1.6025 0.4499
Zn -4.2211 4.2227 0.6460
Zn -1.6520 -0.2027 1.8030
Zn -4.5693 2.7291 2.7814
Zn -2.1077 0.9239 4.1345
Zn -2.0002 -1.6962 3.9384
Dy -1.7303 2.9217 1.7604
Dy -4.4911 -0.3950 2.8240
Cu 0.0000 0.0000 0.0000
Cu -2.5711 -0.0703 -0.4685
```

Results
ΔH_f (0 K), eV per atom: -0.23
Energy above the most stable polymorph in this dataset, eV per formula unit: 0.202
V, A^3/atom: 17.6


No. 18
A relaxed structure of Cs4Ac3YTe8, computed with PBE.

```
16
Lattice="9.6447 0.0000 0.0000 0.0000 10.5485 0.6329 -4.8224 -4.8197 6.8218" Properties=species:S:1:pos:R:3 pbc="T T T"
Ac 4.8224 5.2743 0.3165
Ac -2.4112 2.8644 3.7274
Ac 2.4112 2.8644 3.7274
Cs 0.0000 0.0000 0.0000
Cs -2.4112 -2.4098 3.4109
Cs 4.8224 0.0000 0.0000
Cs 2.4112 -2.4098 3.4109
Te 0.0000 0.5591 3.8031
Te 4.8224 5.1697 3.6516
Te 7.3517 3.0710 0.3807
Te 0.0000 5.1858 3.4963
Te -2.5294 2.6578 7.0740
Te 4.8224 0.5430 3.9584
Te 2.5294 2.6578 7.0740
Te 2.2930 3.0710 0.3807
Y 0.0000 5.2743 0.3165
```

Results
V, A^3/atom: 45.2
Total DFT energy (no corrections), eV/atom: -4.43


No. 19
A relaxed structure of CaY, computed with PBE.

```
12
Lattice="-8.0241 0.8035 5.7788 -5.7310 -2.9274 -7.5506 1.0936 -9.4451 2.8318" Properties=species:S:1:pos:R:3 pbc="T T T"
Ca -2.5921 -3.8250 -3.0674
Ca -5.4712 -4.1199 5.7500
Ca -8.3103 -1.7938 -2.7736
Ca -5.4448 -0.3301 1.0017
Ca -2.0453 -8.5475 -1.6514
Ca -1.4592 -4.5217 2.8606
Y -3.1918 -6.6821 5.0133
Y -3.7514 -6.9181 -4.2471
Y -8.8835 -0.8611 0.5588
Y -0.8859 -5.4544 -0.4717
Y -3.7386 -1.9595 3.5974
Y -4.8715 -1.2628 -2.3306
```

Results
ΔH_f (0 K), eV per atom: 1.79
Energy above the most stable polymorph in this dataset, eV per formula unit: 3.493
V, A^3/atom: 81.4


No. 20
A relaxed structure of Ce4FeI5, computed with PBE.

```
10
Lattice="4.2010 0.0000 -0.9148 -0.4560 8.8902 -2.0939 -0.0660 0.0486 9.8002" Properties=species:S:1:pos:R:3 pbc="T T T"
I 3.1466 5.9156 4.3464
I 1.8725 4.4451 -1.5044
I 0.5324 3.0233 2.4451
I 0.3320 7.4054 1.5245
I 3.3470 1.5335 5.2669
Ce 1.0760 8.3369 4.9411
Ce 4.0331 1.9173 8.4177
Ce 2.6030 0.6019 1.8503
Ce -0.3541 7.0215 -1.6263
Fe 2.1005 0.0000 -0.4574
```

Results
V, A^3/atom: 36.6
Total DFT energy (no corrections), eV/atom: -4.94